The following is a PBE with a Hubbard U calculation of RbNaMn2F8 after structural relaxation, from the Alexandria database.

Properties
Total DFT energy (no corrections) (eV/atom): -5.10

Unit cell a=5.5884 b=5.5884 c=6.8874 alpha=90.00 beta=90.00 gamma=120.00
Sites, in units of the cell vectors:
F 0.6210 0.9526 0.3659
F 0.6684 0.6210 0.6341
F 0.6667 0.3333 0.1387
F 0.3333 0.6667 0.8613
Na 0.0000 0.0000 0.5000
F 0.3316 0.3790 0.3659
F 0.0474 0.6684 0.3659
Mn 0.3333 0.6667 0.5977
Mn 0.6667 0.3333 0.4023
F 0.9526 0.3316 0.6341
F 0.3790 0.0474 0.6341
Rb 0.0000 0.0000 0.0000